A plane-wave DFT calculation with PBE was carried out for NiSbBr4 after structural relaxation.

The calculation puts the energy relative to the elements, uncorrected at 1.044 eV/atom.

```
6
Lattice="-1.2550 -0.4450 6.0042 -5.7732 -1.0007 1.8688 -1.5492 -5.4363 2.4230" Properties=species:S:1:pos:R:3 pbc="T T T"
Ni -6.4331 -5.1615 7.7220
Sb 0.0000 0.0000 0.0000
Br -3.8472 -2.8078 6.8510
Br -3.9932 -5.2857 5.0731
Br -6.0903 -3.0836 4.7979
Br -3.2241 -2.5868 3.8701
```